Record 1
The following is a DFT calculation (PBE-GGA) of an optimized crystal structure of KPSCl2.

Cell lengths 5.6813, 5.6813, 6.6852 Å; angles 90.00, 90.00, 90.00 degrees
Closest atoms and distances in Å follow each position.
Positions (direct):
P: 0.0000 0.0000 0.5000  2 K 3.34
K: 0.0000 0.0000 0.0000  4 Cl 2.84
S: 0.5000 0.5000 0.5000  4 P 4.02, 8 Cl 4.39
Cl: 0.0000 0.5000 0.0000  2 K 2.84
Cl: 0.5000 0.0000 0.0000  2 K 2.84

Summary:
Uncorrected formation energy in meV/atom: 827
Symmetry: No. 123

Record 2
The following is a DFT calculation (PBE-GGA) of an optimized crystal structure of Sm2Dy2Y.

Cell lengths 5.7126, 3.6416, 16.2177 Å; angles 96.45, 100.14, 90.00 degrees
Closest atoms and distances in Å follow each position.
Positions (direct):
Sm: 0.7278 0.9778 0.4555  3 Sm 3.14-3.19
Sm: 0.2722 0.0222 0.5445  3 Sm 3.14-3.19
Sm: 0.3713 0.1213 0.7427  1 Sm 3.14, 2 Dy 3.31
Sm: 0.6287 0.8787 0.2573  1 Sm 3.14, 2 Dy 3.31
Dy: 0.5414 0.2914 0.0829  6 Dy 3.20-3.41, 2 Sm 3.31
Dy: 0.9455 0.1955 0.8911  6 Dy 3.41-3.64, 2 Sm 3.70
Dy: 0.4586 0.7086 0.9171  6 Dy 3.20-3.41, 2 Sm 3.31
Dy: 0.0545 0.8045 0.1089  6 Dy 3.41-3.64, 2 Sm 3.70
Y: 0.8303 0.5803 0.6606  10 Sm 3.63-3.86, 2 Y 3.64
Y: 0.1697 0.4197 0.3394  10 Sm 3.63-3.86, 2 Y 3.64

Summary:
ΔE_f in eV per atom: 0.126
Symmetry: No. 74

Record 3
The following is a DFT calculation (PBE-GGA) of an optimized crystal structure of Pr6As2Se3N.

Cell lengths 4.1518, 8.4895, 9.4605 Å; angles 104.13, 102.68, 90.00 degrees
Closest atoms and distances in Å follow each position.
Positions (direct):
Pr: 0.3556 0.9237 0.7111  1 N 2.58
Pr: 0.6668 0.5801 0.3336  3 As 2.95-3.00, 3 Se 2.98-3.01
Pr: 0.6444 0.0763 0.2888  1 N 2.58
Pr: 0.9999 0.2124 0.9998  2 N 2.75, 1 As 2.97, 1 Se 3.07
Pr: 0.0001 0.7876 0.0002  2 N 2.75, 1 As 2.97, 1 Se 3.07
Pr: 0.3332 0.4199 0.6664  3 As 2.95-3.00, 3 Se 2.98-3.01
As: 0.8347 0.6682 0.6694  6 Pr 2.95-3.00
As: 0.1653 0.3318 0.3306  6 Pr 2.95-3.00
Se: 0.5000 0.5000 0.0000  6 Pr 2.98-3.20
Se: 0.8293 0.1612 0.6585  6 Pr 3.01-3.31
Se: 0.1707 0.8388 0.3415  6 Pr 3.01-3.31
N: 0.5000 0.0000 0.0000  6 Pr 2.58-2.75

Summary:
Uncorrected formation energy in meV/atom: -1636
Symmetry: No. 12

Record 4
The following is a DFT calculation (PBE-GGA) of an optimized crystal structure of NaHfIn.

Cell lengths 3.1694, 3.1672, 17.1366 Å; angles 90.00, 90.00, 120.02 degrees
Closest atoms and distances in Å follow each position.
Positions (direct):
In: 0.6102 0.2205 0.0000  6 Hf 3.16, 6 In 3.17
In: 0.2775 0.5550 0.5000  6 In 3.17, 6 Na 3.49-3.50
Na: 0.6124 0.2249 0.3263  6 Na 3.17, 3 In 3.49-3.50, 3 Hf 3.52-3.53
Na: 0.6124 0.2249 0.6737  6 Na 3.17, 3 In 3.49-3.50, 3 Hf 3.52-3.53
Hf: 0.2770 0.5540 0.8494  3 In 3.16, 6 Hf 3.17, 3 Na 3.52-3.53
Hf: 0.2770 0.5540 0.1506  3 In 3.16, 6 Hf 3.17, 3 Na 3.52-3.53

Summary:
ΔE_f in eV per atom: 0.166
Symmetry: No. 38

Record 5
The following is a DFT calculation (PBE-GGA) of an optimized crystal structure of ZnGaSnBi.

Cell lengths 5.1417, 5.1417, 5.1417 Å; angles 60.00, 60.00, 60.00 degrees
Closest atoms and distances in Å follow each position.
Positions (direct):
Zn: 0.0000 0.0000 0.0000  4 Sn 3.15, 4 Bi 3.15
Bi: 0.7500 0.7500 0.7500  4 Ga 3.15, 4 Zn 3.15
Ga: 0.5000 0.5000 0.5000  4 Sn 3.15, 4 Bi 3.15
Sn: 0.2500 0.2500 0.2500  4 Zn 3.15, 4 Ga 3.15

Summary:
ΔE_f in eV per atom: 0.152
Symmetry: No. 216

Record 6
The following is a DFT calculation (PBE-GGA) of an optimized crystal structure of Pm4Sm6Dy.

Cell lengths 9.8229, 9.8229, 9.8229 Å; angles 57.57, 140.18, 140.18 degrees
Closest atoms and distances in Å follow each position.
Positions (direct):
Pm: 0.0000 0.6348 0.0126  5 Sm 3.39-3.64, 1 Dy 3.52, 1 Pm 3.57
Pm: 0.3779 0.3652 0.3652  5 Sm 3.39-3.64, 1 Dy 3.52, 1 Pm 3.57
Pm: 0.0000 0.0126 0.6348  5 Sm 3.39-3.64, 1 Dy 3.52, 1 Pm 3.57
Pm: 0.6221 0.9874 0.9874  5 Sm 3.39-3.64, 1 Dy 3.52, 1 Pm 3.57
Sm: 0.0000 0.8041 0.4496  3 Sm 3.29-3.35, 5 Pm 3.39-3.64
Sm: 0.0000 0.4496 0.8041  3 Sm 3.29-3.35, 5 Pm 3.39-3.64
Sm: 0.3544 0.5504 0.5504  3 Sm 3.29-3.35, 5 Pm 3.39-3.64
Sm: 0.5000 0.5000 0.0000  4 Sm 3.29, 2 Dy 3.34
Sm: 0.6456 0.1959 0.1959  3 Sm 3.29-3.35, 5 Pm 3.39-3.64
Sm: 0.5000 0.0000 0.5000  4 Sm 3.29, 2 Dy 3.34
Dy: 0.0000 0.0000 0.0000  4 Sm 3.34, 4 Pm 3.52

Summary:
ΔE_f in eV per atom: 0.287
Symmetry: No. 121

Record 7
The following is a DFT calculation (PBE-GGA) of an optimized crystal structure of Ac3Zn2Ge3.

Cell lengths 4.4948, 6.4421, 15.3986 Å; angles 90.00, 90.00, 110.42 degrees
Closest atoms and distances in Å follow each position.
Positions (direct):
Ac: 0.9265 0.8531 0.3918  7 Ge 3.27-3.65, 4 Zn 3.29-3.64
Ac: 0.0735 0.1469 0.8918  7 Ge 3.27-3.65, 4 Zn 3.29-3.64
Ac: 0.9265 0.8531 0.1082  7 Ge 3.27-3.65, 4 Zn 3.29-3.64
Ac: 0.0735 0.1469 0.6082  7 Ge 3.27-3.65, 4 Zn 3.29-3.64
Ac: 0.6438 0.2877 0.2500  4 Ge 3.16-3.35, 4 Zn 3.44
Ac: 0.3562 0.7123 0.7500  4 Ge 3.16-3.35, 4 Zn 3.44
Zn: 0.7723 0.5445 0.9054  4 Ge 2.62-2.81
Zn: 0.2277 0.4555 0.4054  4 Ge 2.62-2.81
Zn: 0.7723 0.5445 0.5946  4 Ge 2.62-2.81
Zn: 0.2277 0.4555 0.0946  4 Ge 2.62-2.81
Ge: 0.6353 0.2706 0.4554  3 Zn 2.62-2.71
Ge: 0.3647 0.7294 0.9554  3 Zn 2.62-2.71
Ge: 0.6353 0.2706 0.0446  3 Zn 2.62-2.71
Ge: 0.3647 0.7294 0.5446  3 Zn 2.62-2.71
Ge: 0.3492 0.6984 0.2500  2 Zn 2.81
Ge: 0.6508 0.3016 0.7500  2 Zn 2.81

Summary:
ΔE_f in eV per atom: -0.586
Symmetry: No. 63

Record 8
The following is a DFT calculation (PBE-GGA) of an optimized crystal structure of Be3In.

Cell lengths 4.0583, 4.9208, 5.3513 Å; angles 90.00, 90.00, 90.00 degrees
Closest atoms and distances in Å follow each position.
Positions (direct):
Be: 0.6762 0.0000 0.5000  4 Be 2.28-2.30, 2 In 2.46
Be: 0.3238 0.5000 0.0000  4 Be 2.28-2.30, 2 In 2.46
Be: 0.8255 0.2842 0.0000  3 Be 2.12-2.30
Be: 0.8255 0.7158 0.0000  3 Be 2.12-2.30
Be: 0.1745 0.7842 0.5000  3 Be 2.12-2.30
Be: 0.1745 0.2158 0.5000  3 Be 2.12-2.30
In: 0.3238 0.0000 0.0000  6 Be 2.46-2.47
In: 0.6762 0.5000 0.5000  6 Be 2.46-2.47

Summary:
ΔE_f in eV per atom: 0.480
Symmetry: No. 59

Record 9
The following is a DFT calculation (PBE-GGA) of an optimized crystal structure of LuInPd.

Cell lengths 7.7234, 7.7234, 3.6925 Å; angles 90.00, 90.00, 120.00 degrees
Closest atoms and distances in Å follow each position.
Positions (direct):
Lu: 0.0000 0.4035 0.5000  5 Pd 2.99-3.12, 6 In 3.15-3.31
Lu: 0.5965 0.5965 0.5000  5 Pd 2.99-3.12, 6 In 3.15-3.31
Lu: 0.4035 0.0000 0.5000  5 Pd 2.99-3.12, 6 In 3.15-3.31
In: 0.0000 0.7346 0.0000  4 Pd 2.76-2.87
In: 0.2654 0.2654 0.0000  4 Pd 2.76-2.87
In: 0.7346 0.0000 0.0000  4 Pd 2.76-2.87
Pd: 0.3333 0.6667 0.0000  3 In 2.87, 6 Lu 2.99
Pd: 0.6667 0.3333 0.0000  3 In 2.87, 6 Lu 2.99
Pd: 0.0000 0.0000 0.5000  6 In 2.76

Summary:
ΔE_f in eV per atom: -0.799
Symmetry: No. 189

Record 10
The following is a DFT calculation (PBE-GGA) of an optimized crystal structure of YAl2Os2.

Cell lengths 3.9823, 3.9823, 11.6631 Å; angles 99.83, 99.83, 90.00 degrees
Closest atoms and distances in Å follow each position.
Positions (direct):
Y: 0.6246 0.6246 0.2493  8 Al 3.08-3.45, 4 Os 3.09
Y: 0.3754 0.3754 0.7507  8 Al 3.08-3.45, 4 Os 3.09
Al: 0.0000 0.5000 0.0000  4 Os 2.52, 4 Al 2.82
Al: 0.1802 0.1802 0.3603  5 Os 2.53-2.54
Al: 0.5000 0.0000 0.0000  4 Os 2.52, 4 Al 2.82
Al: 0.8198 0.8198 0.6397  5 Os 2.53-2.54
Os: 0.7500 0.2500 0.5000  4 Al 2.54, 4 Os 2.82
Os: 0.9316 0.9316 0.8633  5 Al 2.52-2.53
Os: 0.0684 0.0684 0.1367  5 Al 2.52-2.53
Os: 0.2500 0.7500 0.5000  4 Al 2.54, 4 Os 2.82

Summary:
ΔE_f in eV per atom: -0.332
Symmetry: No. 139

Record 11
The following is a DFT calculation (PBE-GGA) of an optimized crystal structure of WSCl3.

Cell lengths 6.9785, 7.6722, 12.2794 Å; angles 88.11, 85.83, 62.95 degrees
Closest atoms and distances in Å follow each position.
Positions (direct):
W: 0.9852 0.9029 0.1476  5 Cl 2.35-2.51, 2 S 2.43-2.46
W: 0.1119 0.9029 0.3524  5 Cl 2.35-2.51, 2 S 2.43-2.46
W: 0.0148 0.0971 0.8524  5 Cl 2.35-2.51, 2 S 2.43-2.46
W: 0.8881 0.0971 0.6476  5 Cl 2.35-2.51, 2 S 2.43-2.46
S: 0.3138 0.6453 0.2155  1 S 2.03
S: 0.0409 0.6453 0.2845  1 S 2.03
S: 0.6862 0.3547 0.7845  1 S 2.03
S: 0.9591 0.3547 0.7155  1 S 2.03
Cl: 0.7972 0.2000 0.0309  2 W 2.50-2.51
Cl: 0.0028 0.2000 0.4691  2 W 2.50-2.51
Cl: 0.2028 0.8000 0.9691  2 W 2.50-2.51
Cl: 0.9972 0.8000 0.5309  2 W 2.50-2.51
Cl: 0.7506 0.7964 0.0783  1 W 2.35
Cl: 0.4530 0.7964 0.4217  1 W 2.35
Cl: 0.2494 0.2036 0.9217  1 W 2.35
Cl: 0.5470 0.2036 0.5783  1 W 2.35
Cl: 0.7324 0.0909 0.2953  2 W 2.42-2.51
Cl: 0.1767 0.0909 0.2047  2 W 2.42-2.51
Cl: 0.2676 0.9091 0.7047  2 W 2.42-2.51
Cl: 0.8233 0.9091 0.7953  2 W 2.42-2.51

Summary:
Uncorrected formation energy in meV/atom: -688
Symmetry: No. 15

Record 12
The following is a DFT calculation (PBE-GGA) of an optimized crystal structure of Zn5Ni6H.

Cell lengths 3.6705, 5.6075, 7.9932 Å; angles 59.44, 76.74, 90.07 degrees
Closest atoms and distances in Å follow each position.
Positions (direct):
Zn: 0.7177 0.2844 0.5636  7 Ni 2.48-2.59, 5 Zn 2.68-2.77
Zn: 0.3616 0.3914 0.2777  7 Ni 2.46-2.67, 5 Zn 2.65-2.70
Zn: 0.0000 0.5000 0.0000  8 Ni 2.56-2.57, 4 Zn 2.65, 2 H 2.80
Zn: 0.6384 0.6086 0.7223  7 Ni 2.46-2.67, 5 Zn 2.65-2.70
Zn: 0.2823 0.7156 0.4364  7 Ni 2.48-2.59, 5 Zn 2.68-2.77
Ni: 0.8974 0.7326 0.2086  1 H 1.53
Ni: 0.8228 0.0564 0.3548  7 Zn 2.46-2.64, 5 Ni 2.60-2.72
Ni: 0.5431 0.8640 0.9168  2 H 2.20-2.22, 1 Ni 2.46
Ni: 0.4569 0.1360 0.0832  2 H 2.20-2.22, 1 Ni 2.46
Ni: 0.1772 0.9436 0.6452  7 Zn 2.46-2.64, 5 Ni 2.60-2.72
Ni: 0.1026 0.2674 0.7914  1 H 1.53
H: 0.0000 0.0000 0.0000  2 Ni 1.53

Summary:
Symmetry: No. 2
Electronic total energy in eV per atom: -3.82